[1]
# ZrGaTcAs2

An optimized crystal structure of ZrGaTcAs2 (PBE, Alexandria via LeMat-Bulk).

abc: 5.1362 5.1617 5.1362
angles: 90.00 90.00 90.00
Atoms (fractional coordinates):
As: 0.0000 0.0000 0.5000
As: 0.5000 0.0000 0.0000
Zr: 0.0000 0.0000 0.0000
Ga: 0.0000 0.5000 0.0000
Tc: 0.5000 0.5000 0.5000

Computed properties:
Calculated volume ... 136 Å³/cell
Fermi-level density of states ... 0.77 states/eV per atom
ΔH_f (0 K) ... 972 meV/atom
E above lowest polymorph ... 676.9 meV per atom
Uncorrected energy ... -5.276 eV/atom



[2]
# Ga2TeAs

An optimized crystal structure of Ga2TeAs (PBE, Alexandria via LeMat-Bulk).

abc: 4.9987 4.9987 4.9987
angles: 60.00 60.00 60.00
Atoms (fractional coordinates):
As: 0.0000 0.0000 0.0000
Ga: 0.2500 0.2500 0.2500
Ga: 0.7500 0.7500 0.7500
Te: 0.5000 0.5000 0.5000

Computed properties:
Calculated volume ... 88 Å³/cell
Fermi-level density of states ... 0.58 states/eV per atom
E above lowest polymorph ... 330.5 meV per atom
Formation energy from raw total energies ... 0.174 eV per atom
Uncorrected energy ... -3.287 eV/atom



[3]
# Ga3Te3As

An optimized crystal structure of Ga3Te3As (PBE, Alexandria via LeMat-Bulk).

abc: 4.1764 5.9710 16.8053
angles: 90.00 90.00 90.00
Atoms (fractional coordinates):
Te: 0.0000 0.7758 0.9282
Te: 0.5000 0.2252 0.8086
Te: 0.5000 0.2758 0.0718
Te: 0.0000 0.7701 0.6914
Te: 0.0000 0.7252 0.1914
Te: 0.5000 0.2701 0.3086
Ga: 0.0000 0.9892 0.0687
Ga: 0.5000 0.4892 0.9313
Ga: 0.5000 0.4835 0.6838
Ga: 0.0000 0.0083 0.5558
Ga: 0.5000 0.5083 0.4442
Ga: 0.0000 0.9835 0.3162
As: 0.0000 0.7479 0.4396
As: 0.5000 0.2479 0.5604

Computed properties:
Calculated volume ... 419 Å³/cell
Fermi-level density of states ... 0.07 states/eV per atom
E above lowest polymorph ... 0.0 meV per atom
Formation energy from raw total energies ... -0.315 eV per atom
Uncorrected energy ... -3.623 eV/atom



[4]
# Ga2TeAs

An optimized crystal structure of Ga2TeAs (PBE, Alexandria via LeMat-Bulk).

abc: 4.1688 4.1688 7.5596
angles: 90.00 90.00 120.00
Atoms (fractional coordinates):
Ga: 0.0000 0.0000 0.3403
Ga: 0.6667 0.3333 0.8933
As: 0.0000 0.0000 0.9950
Te: 0.6667 0.3333 0.5214

Computed properties:
Calculated volume ... 114 Å³/cell
Fermi-level density of states ... 0.65 states/eV per atom
E above lowest polymorph ... 8.7 meV per atom
Formation energy from raw total energies ... -0.148 eV per atom
Uncorrected energy ... -3.609 eV/atom